[1]
CoSb3O | the Alexandria database | GGA-PBEsol | relaxed; relative energy among the computed polymorphs = 254 meV/atom; total magnetic moment = 0.012 μB/cell; formation energy from raw total energies = 2.87 eV/f.u.; crystal system = cubic
1.0
-4.5637 -1.3623 -0.0948
0.3035 -1.3343 4.5629
-1.3314 4.3654 1.3651
Co Sb O
1 3 1
Cartesian
0.0000 0.0000 0.0000
-0.6657 2.1827 0.6825
-2.2819 -0.6811 -0.0474
0.1518 -0.6671 2.2815
-2.7958 0.8344 2.9166

---

[2]
TaIn4Sb | the Alexandria database | GGA-PBEsol | relaxed; total magnetic moment = 0.000 μB/cell; formation energy from raw total energies = 3.16 eV/f.u.; crystal system = cubic
1.0
-4.7718 3.2078 -0.1715
-2.5888 1.0376 -5.0310
-5.0695 -2.4468 -1.1846
In Sb Ta
4 1 1
Cartesian
-7.0520 2.2863 -2.4768
-7.2017 -0.5573 -2.9863
-4.6523 0.6732 -2.3906
-5.9542 1.1950 -4.9206
-9.3226 1.3490 -4.7903
0.0000 0.0000 0.0000

---

[3]
ErCuNi | the Alexandria database | GGA-PBEsol | relaxed; total magnetic moment = 0.000 μB/cell; formation enthalpy at 0 K = -34 kJ per mole of atoms; crystal system = orthorhombic
1.0
-4.1000 -2.7131 -0.6975
0.2580 -4.2425 -2.6903
-0.4866 -4.4155 2.3599
Cu Er Ni
2 2 2
Cartesian
-0.2433 -2.2078 1.1800
-2.2933 -3.5643 0.8312
-3.9128 -7.8343 0.4461
-0.4158 -3.5368 -1.4740
-2.0500 -1.3565 -0.3488
-2.1643 -5.6856 -0.5140

---

[4]
Al2TlCr | the Alexandria database | GGA-PBEsol | relaxed; relative energy among the computed polymorphs = 0 meV/atom; total magnetic moment = 1.112 μB/cell; formation enthalpy at 0 K = 29 kJ per mole of atoms; crystal system = tetragonal
1.0
3.9160 0.0000 0.0000
0.0000 3.9167 0.0000
-1.9580 -1.9584 4.2097
Tl Cr Al
1 1 2
Cartesian
0.0000 1.9584 0.0000
1.9580 0.0000 0.0000
1.9580 1.9584 2.1049
0.0000 0.0000 2.1048

---

[5]
Ca2ZnGaSe | the Alexandria database | GGA-PBEsol | relaxed; total magnetic moment = 0.000 μB/cell; formation energy from raw total energies = -1.71 eV/f.u.; crystal system = tetragonal
1.0
4.7590 0.0000 0.0000
0.0000 5.4218 0.0000
0.0000 0.0000 5.4218
Zn Ca Se Ga
1 2 1 1
Cartesian
2.3795 0.0000 0.0000
0.0000 0.0000 2.7109
0.0000 2.7109 0.0000
0.0000 0.0000 0.0000
2.3795 2.7109 2.7109

---

[6]
Sr2AlSnS | the Alexandria database | GGA-PBEsol | relaxed; total magnetic moment = 0.918 μB/cell; formation energy from raw total energies = 1.15 eV/f.u.; crystal system = tetragonal
1.0
-2.4786 4.2625 0.7270
-4.0396 -2.9884 3.7489
3.6421 1.2752 4.9409
Sn Al Sr S
1 1 2 1
Cartesian
0.0000 0.0000 0.0000
-1.4381 1.2746 4.7084
-2.0198 -1.4942 1.8745
1.8210 0.6376 2.4704
-1.2393 2.1312 0.3635

---

[7]
Y3TaFe | the Alexandria database | GGA-PBEsol | relaxed; total magnetic moment = 2.679 μB/cell; formation enthalpy at 0 K = 117 kJ per mole of atoms; crystal system = cubic
1.0
5.3205 0.0000 0.0000
0.0000 5.3205 0.0000
0.0000 0.0000 5.3205
Ta Y Fe
1 3 1
Cartesian
0.0000 0.0000 0.0000
2.6602 0.0000 0.0000
0.0000 0.0000 2.6602
0.0000 2.6602 0.0000
2.6602 2.6602 2.6602

---

[8]
TlRe2Sb | the Alexandria database | GGA-PBEsol | relaxed; relative energy among the computed polymorphs = 408 meV/atom; total magnetic moment = 0.000 μB/cell; formation energy from raw total energies = 3.67 eV/f.u.; crystal system = tetragonal
1.0
3.2414 0.0000 0.0000
0.0000 3.2414 0.0000
0.0000 0.0000 6.6687
Re Tl Sb
2 1 1
Cartesian
0.0000 0.0000 5.1409
0.0000 0.0000 1.5278
1.6207 1.6207 3.3343
1.6207 1.6207 0.0000

---

[9]
Tl2MoSe | the Alexandria database | GGA-PBEsol | relaxed; relative energy among the computed polymorphs = 0 meV/atom; total magnetic moment = 0.876 μB/cell; formation energy from raw total energies = 2.56 eV/f.u.; crystal system = tetragonal
1.0
-0.1745 -2.6175 2.5543
3.6287 -0.4432 -0.2063
0.7644 4.2211 4.3777
Se Tl Mo
1 2 1
Cartesian
2.1093 0.5802 3.3629
0.5826 3.2172 3.3365
0.1818 1.0039 1.0411
1.7271 -1.5304 1.1740

---

[10]
AsPtBr | the Alexandria database | GGA-PBEsol | relaxed; relative energy among the computed polymorphs = 523 meV/atom; total magnetic moment = 0.000 μB/cell; formation energy from raw total energies = 0.82 eV/f.u.; crystal system = cubic
1.0
-2.7994 3.4572 -0.1252
-2.0727 1.0484 -3.7959
-4.3765 -0.6944 -0.4107
Pt Br As
1 1 1
Cartesian
-2.3121 0.9528 -1.0830
-4.6243 1.9056 -2.1660
0.0000 0.0000 0.0000

---

[11]
ZnReIr | the Alexandria database | GGA-PBEsol | relaxed; relative energy among the computed polymorphs = 280 meV/atom; total magnetic moment = 0.000 μB/cell; formation enthalpy at 0 K = 20 kJ per mole of atoms; crystal system = orthorhombic
1.0
-1.5212 -1.5976 1.5536
2.6773 -0.3324 0.0413
-0.1036 5.4127 4.2407
Ir Re Zn
1 1 1
Cartesian
0.0004 0.0041 0.0046
0.3174 2.9751 3.3701
0.7347 0.5035 2.4609

---

[12]
SrNi3W | the Alexandria database | GGA-PBEsol | relaxed; total magnetic moment = 0.000 μB/cell; formation enthalpy at 0 K = 73 kJ per mole of atoms; crystal system = cubic
1.0
4.5922 0.0000 0.0000
0.0000 4.5922 0.0000
0.0000 0.0000 4.5922
Ni W Sr
3 1 1
Cartesian
2.2961 0.0000 0.0000
0.0000 0.0000 2.2961
0.0000 2.2961 0.0000
0.0000 0.0000 0.0000
2.2961 2.2961 2.2961

---

Number 1: D(E_F) 4.4 states/eV/cell, E -4.76 eV per atom. Number 2: D(E_F) 3.5 states/eV/cell, E -4.31 eV per atom. Number 3: D(E_F) 3.4 states/eV/cell, E -5.49 eV per atom. Number 4: D(E_F) 1.3 states/eV/cell, E -4.97 eV per atom. Number 5: D(E_F) 3.2 states/eV/cell, E -2.95 eV per atom. Number 6: D(E_F) 6.4 states/eV/cell, E -3.05 eV per atom. Number 7: D(E_F) 10.1 states/eV/cell, E -7.18 eV per atom. Number 8: D(E_F) 3.7 states/eV/cell, E -7.55 eV per atom. Number 9: D(E_F) 4.2 states/eV/cell, E -4.58 eV per atom. Number 10: D(E_F) 1.5 states/eV/cell, E -4.37 eV per atom. Number 11: D(E_F) 2.5 states/eV/cell, E -8.04 eV per atom. Number 12: D(E_F) 5.5 states/eV/cell, E -6.06 eV per atom.